K2LiBi2: optimized geometry, PBE-GGA.

a b c (Å): 10.490 10.490 3.418
angles (deg): 90.00 90.00 90.00
Space group P4/mbm (No. 127)
One atom of each set of equivalent atoms:
K 0.118 0.382 0.000 (multiplicity 4)
Li 0.000 0.000 0.000 (multiplicity 2)
Bi 0.181 0.681 0.500 (multiplicity 4)

Calculated values
As for the total moment: 0.00 μB per formula unit. The formation energy comes out at -0.070 eV per atom. The energy above the most stable polymorph in this dataset comes out at 276.9 meV per atom.

HfMgZr2B: optimized geometry, PBE-GGA.

a b c (Å): 5.112 5.112 4.012
angles (deg): 90.00 90.00 90.00
Space group P4/mmm (No. 123)
One atom of each set of equivalent atoms:
Hf 0.000 0.000 0.000 (multiplicity 1)
Mg 0.500 0.500 0.500 (multiplicity 1)
Zr 0.000 0.500 0.500 (multiplicity 2)
B 0.500 0.500 0.000 (multiplicity 1)

Calculated values
As for the total moment: 1.68 μB per formula unit. The formation energy comes out at 1.308 eV per atom. The energy above the most stable polymorph in this dataset comes out at 1457.7 meV per atom.

HfZnPS2: optimized geometry, PBE-GGA.

a b c (Å): 4.868 4.868 5.173
angles (deg): 90.00 90.00 90.00
Space group P4/mmm (No. 123)
One atom of each set of equivalent atoms:
Hf 0.000 0.000 0.000 (multiplicity 1)
Zn 0.500 0.500 0.500 (multiplicity 1)
P 0.000 0.000 0.500 (multiplicity 1)
S 0.000 0.500 0.000 (multiplicity 2)

Calculated values
As for the total moment: 0.00 μB per formula unit. The value obtained for the formation energy from raw total energies is -0.107 eV/atom. The energy above the most stable polymorph in this dataset comes out at 0.0 meV per atom.